A plane-wave DFT calculation with GGA-PBE was carried out for a relaxed RbRu2F crystal.

a b c (Å): 9.944 9.944 9.944
angles (deg): 153.60 153.60 37.69
Element x y z (fractional)
Rb 0.000 0.000 0.000
Rb 0.750 0.250 0.500
Ru 0.358 0.625 0.233
Ru 0.375 0.608 0.733
Ru 0.392 0.125 0.767
Ru 0.875 0.642 0.267
F 0.250 0.750 0.500
F 0.500 0.500 0.000

Properties
- density of states at the Fermi level (states/eV/cell) = 8.708
- total magnetic moment (μB/atom) = 0.346
- crystal system = tetragonal
- calculated volume (A^3/atom) = 24.267
- energy above the most stable polymorph in this dataset (meV/atom) = 0.0